Entry from the Alexandria database: an optimized crystal structure of Cs2Rb7Tl2 (GGA-PBE).

abc: 10.529 13.232 12.716
angles: 90.00 90.39 90.00
Space group C2/m (No. 12)
Unique sites:
Cs: 0.000 0.173 0.000 x4
Rb: 0.000 0.000 0.500 x2
Rb: 0.004 0.500 0.798 x4
Rb: 0.249 0.249 0.665 x8
Tl: 0.141 0.500 0.500 x4

* volume: 1771.5 Å³/cell
* density: 2.39 g cm⁻³
* energy of formation: 0.75 kcal/mol of atoms



Entry from the Alexandria database: an optimized crystal structure of BeZnRh2 (GGA-PBE).

abc: 2.885 4.480 7.883
angles: 90.00 90.00 90.00
Space group Immm (No. 71)
Unique sites:
Be: 0.000 0.000 0.000 x2
Zn: 0.000 0.000 0.500 x2
Rh: 0.000 0.500 0.281 x4

* volume: 101.9 Å³/cell
* excess energy over the best structure of this formula in the dataset: 0.163 eV/atom
* density: 9.14 g cm⁻³
* energy of formation: -6.92 kcal/mol of atoms



Entry from the Alexandria database: an optimized crystal structure of Sr3Ca13 (GGA-PBE).

abc: 10.971 11.341 11.350
angles: 90.00 90.00 90.00
Space group Amm2 (No. 38)
Unique sites:
Sr: 0.000 0.000 0.000 x2
Sr: 0.254 0.000 0.256 x4
Ca: 0.000 0.000 0.508 x2
Ca: 0.000 0.246 0.753 x4
Ca: 0.253 0.000 0.751 x4
Ca: 0.254 0.248 0.504 x8
Ca: 0.500 0.000 0.509 x2
Ca: 0.500 0.000 0.998 x2
Ca: 0.500 0.244 0.754 x4

* volume: 1412.2 Å³/cell
* excess energy over the best structure of this formula in the dataset: 0.000 eV/atom
* density: 1.84 g cm⁻³
* energy of formation: 0.18 kcal/mol of atoms



Size of the total moment readings, ordered: 0.0; 0.0; 0.0 μB/cell